# 1
Here is a relaxed structure of TlGaSe2 from Alexandria. Energies are from PBE.

Unit cell a=7.344 b=7.344 c=8.779 alpha=90.00 beta=90.00 gamma=90.00
Space group I-42d (No. 122)
Asymmetric unit:
Tl1 0.000 0.000 0.000 x4
Ga1 0.000 0.000 0.500 x4
Se1 0.162 0.250 0.625 x8

Results
final energy: -3.628 eV/atom
energy relative to the lowest polymorph listed for this composition: 49 meV per atom



# 2
Here is a relaxed structure of Tl8GaSe6 from Alexandria. Energies are from PBE.

Unit cell a=8.964 b=9.636 c=11.446 alpha=90.00 beta=90.00 gamma=90.00
Space group Pmn2_1 (No. 31)
Asymmetric unit:
Tl1 0.000 0.208 0.000 x2
Tl2 0.000 0.227 0.417 x2
Tl3 0.207 0.702 0.082 x4
Tl4 0.221 0.565 0.796 x4
Tl5 0.236 0.946 0.767 x4
Ga1 0.000 0.750 0.473 x2
Se1 0.000 0.460 0.141 x2
Se2 0.000 0.537 0.590 x2
Se3 0.000 0.911 0.958 x2
Se4 0.000 0.973 0.580 x2
Se5 0.227 0.748 0.349 x4

Results
final energy: -3.206 eV/atom



# 3
Here is a relaxed structure of TlGaSe from Alexandria. Energies are from PBE.

Unit cell a=4.1386 b=4.1386 c=5.5803 alpha=90.00 beta=90.00 gamma=120.00
Space group P3m1 (No. 156)
Asymmetric unit:
Tl1 0.0000 0.0000 0.0000 x1
Ga1 0.3333 0.6667 0.6129 x1
Se1 0.6667 0.3333 0.3825 x1

Results
final energy: -3.257 eV/atom



# 4
Here is a relaxed structure of TlGa2Se2 from Alexandria. Energies are from PBE.

Unit cell a=4.964 b=4.964 c=11.282 alpha=90.00 beta=90.00 gamma=90.00
Space group I4/mmm (No. 139)
Asymmetric unit:
Tl1 0.000 0.000 0.000 x2
Ga1 0.000 0.500 0.250 x4
Se1 0.000 0.000 0.340 x4

Results
final energy: -3.294 eV/atom
energy relative to the lowest polymorph listed for this composition: 105 meV per atom



# 5
Here is a relaxed structure of Tl5GaSe4 from Alexandria. Energies are from PBE.

Unit cell a=8.481 b=10.503 c=7.681 alpha=90.00 beta=90.00 gamma=90.00
Space group Pmmn (No. 59, origin choice 2)
Asymmetric unit:
Tl1 0.036 0.052 0.227 x8
Tl2 0.250 0.250 0.555 x2
Ga1 0.250 0.750 0.352 x2
Se1 0.012 0.750 0.174 x4
Se2 0.250 0.559 0.538 x4

Results
final energy: -3.320 eV/atom



# 6
Here is a relaxed structure of TlGa2Se from Alexandria. Energies are from PBE.

Unit cell a=6.396 b=6.396 c=11.827 alpha=90.00 beta=90.00 gamma=90.00
Space group I-42d (No. 122)
Asymmetric unit:
Tl1 0.000 0.000 0.000 x4
Ga1 0.229 0.250 0.625 x8
Se1 0.000 0.000 0.500 x4

Results
final energy: -3.030 eV/atom
energy relative to the lowest polymorph listed for this composition: 72 meV per atom



# 7
Here is a relaxed structure of TlGa6Se8 from Alexandria. Energies are from PBE.

Unit cell a=10.9575 b=10.9575 c=11.3203 alpha=90.00 beta=90.00 gamma=120.00
Space group R-3 (No. 148, hexagonal axes)
Asymmetric unit:
Tl1 0.0000 0.0000 0.0000 x3
Ga1 0.0544 0.8029 0.6244 x18
Se1 0.0000 0.0000 0.3304 x6
Se2 0.0309 0.7392 0.1236 x18

Results
final energy: -3.627 eV/atom



# 8
Here is a relaxed structure of Tl7GaSe6 from Alexandria. Energies are from PBE.

Unit cell a=7.349 b=13.745 c=18.533 alpha=90.00 beta=90.00 gamma=90.00
Space group Ibam (No. 72)
Asymmetric unit:
Tl1 0.000 0.000 0.250 x4
Tl2 0.146 0.298 0.115 x16
Tl3 0.236 0.461 0.500 x8
Ga1 0.000 0.500 0.250 x4
Se1 0.059 0.172 0.500 x8
Se2 0.220 0.408 0.324 x16

Results
final energy: -3.272 eV/atom



| no. | formation energy without anion corrections (kJ per mole of atoms) |
| --- | --- |
| 1 | -52 |
| 2 | -34 |
| 3 | -29 |
| 4 | -21 |
| 5 | -42 |
| 6 | -5 |
| 7 | -39 |
| 8 | -37 |